No. 1
An optimized crystal structure of CdPd2, computed with PBE.

Calculated values
Calculated volume: 100.53 Å³/cell
E_form: -319 meV per atom

Geometry as POSCAR:
```
CdPd2
1.0
-0.530 -3.290 2.571
-1.167 -0.720 -4.607
5.576 -0.979 -0.103
Pd Cd
4 2
Direct
0.830 0.660 0.671
0.170 0.340 0.329
0.500 0.000 0.500
0.500 0.000 0.000
0.160 0.319 0.818
0.840 0.681 0.182
```

=====

No. 2
An optimized crystal structure of Cd2Pd3, computed with PBE.

Calculated values
Calculated volume: 171.35 Å³/cell
E_form: -321 meV per atom
E above lowest polymorph: 0.00 eV per formula unit

Geometry as POSCAR:
```
Cd2Pd3
1.0
3.333 0.000 0.000
0.000 3.333 0.000
0.000 0.000 15.421
Cd Pd
4 6
Direct
0.500 0.500 0.602
0.500 0.500 0.809
0.500 0.500 0.191
0.500 0.500 0.398
0.500 0.500 0.000
0.000 0.000 0.906
0.000 0.000 0.094
0.000 0.000 0.704
0.000 0.000 0.500
0.000 0.000 0.296
```

=====

No. 3
An optimized crystal structure of Cd5Pd6, computed with PBE.

Calculated values
Calculated volume: 202.08 Å³/cell
E_form: -292 meV per atom

Geometry as POSCAR:
```
Cd5Pd6
1.0
-2.734 2.098 2.440
-5.428 -4.726 -2.015
5.563 -2.491 4.720
Cd Pd
5 6
Direct
0.671 0.671 0.341
0.329 0.329 0.659
0.653 0.153 0.306
0.000 0.500 0.000
0.347 0.847 0.694
0.500 0.257 0.000
0.500 0.743 0.000
0.166 0.915 0.332
0.166 0.417 0.332
0.834 0.583 0.668
0.834 0.085 0.668
```

=====

> Which of these has the highest calculated volume?

Cd5Pd6

=====

> Number 2 is which compound?

Cd2Pd3

=====

Please write out number 1 again, unchanged.
An optimized crystal structure of CdPd2, computed with PBE.

Calculated values
Calculated volume: 100.53 Å³/cell
E_form: -319 meV per atom

Geometry as POSCAR:
```
CdPd2
1.0
-0.530 -3.290 2.571
-1.167 -0.720 -4.607
5.576 -0.979 -0.103
Pd Cd
4 2
Direct
0.830 0.660 0.671
0.170 0.340 0.329
0.500 0.000 0.500
0.500 0.000 0.000
0.160 0.319 0.818
0.840 0.681 0.182
```

=====

What did the first record say?
An optimized crystal structure of CdPd2, computed with PBE.

Calculated values
Calculated volume: 100.53 Å³/cell
E_form: -319 meV per atom

Geometry as POSCAR:
```
CdPd2
1.0
-0.530 -3.290 2.571
-1.167 -0.720 -4.607
5.576 -0.979 -0.103
Pd Cd
4 2
Direct
0.830 0.660 0.671
0.170 0.340 0.329
0.500 0.000 0.500
0.500 0.000 0.000
0.160 0.319 0.818
0.840 0.681 0.182
```